Computed, not measured: an optimized crystal structure of Pr4In2N at the PBE level of DFT.

```
Pr4In2N
1.0
5.019 0.000 0.000
0.000 5.019 0.000
2.510 2.510 8.194
Pr N In
4 1 2
Cartesian
5.019 5.019 2.669 Pr
2.510 2.510 5.525 Pr
0.000 2.510 0.000 Pr
2.510 0.000 0.000 Pr
0.000 0.000 0.000 N
5.019 5.019 5.956 In
2.510 2.510 2.238 In
```

Values from the calculation:
M_tot (μB per formula unit): 0.00
ΔE_f (raw) (eV/atom): -0.617
Crystal system: tetragonal
Space-group type: I4/mmm